(one)
Density functional theory data (PBE) for a geometry-optimized Pm2Dy2Se5 structure.

a b c (Å): 7.628 7.667 10.323
angles (deg): 111.80 111.68 90.00
Fractional positions:
Pm  0.120  0.634  0.203
Pm  0.880  0.431  0.797
Pm  0.583  0.134  0.203
Pm  0.417  0.931  0.797
Dy  0.000  0.963  0.000
Dy  0.500  0.463  0.000
Dy  0.209  0.353  0.500
Dy  0.791  0.853  0.500
Se  0.234  0.677  0.883
Se  0.766  0.794  0.117
Se  0.148  0.177  0.883
Se  0.852  0.294  0.117
Se  0.291  0.033  0.294
Se  0.709  0.739  0.706
Se  0.503  0.533  0.294
Se  0.497  0.239  0.706
Se  0.119  0.711  0.500
Se  0.881  0.211  0.500

Results
crystal system	orthorhombic
N(E_F)	0.442	states/eV/atom
mass density	6.52	g/cm³
total magnetization	0.17	μB/f.u.
space-group type	Ima2

(two)
Density functional theory data (PBE) for a geometry-optimized Pm2Dy2Se5 structure.

a b c (Å): 7.734 8.357 8.357
angles (deg): 124.59 90.00 90.00
Fractional positions:
Pm  0.000  0.802  0.198
Pm  0.500  0.302  0.698
Pm  0.000  0.198  0.802
Pm  0.500  0.698  0.302
Dy  0.343  0.151  0.151
Dy  0.657  0.849  0.849
Dy  0.843  0.349  0.349
Dy  0.157  0.651  0.651
Se  0.000  0.000  0.000
Se  0.500  0.500  0.500
Se  0.154  0.205  0.477
Se  0.846  0.523  0.795
Se  0.654  0.023  0.295
Se  0.346  0.705  0.977
Se  0.846  0.795  0.523
Se  0.154  0.477  0.205
Se  0.346  0.977  0.705
Se  0.654  0.295  0.023

Results
crystal system	orthorhombic
N(E_F)	0.715	states/eV/atom
mass density	7.54	g/cm³
total magnetization	0.00	μB/f.u.
space-group type	Cmce

Verdict on stability: (one) comes out at the bottom.